[1]
AcLaThCd | PBE-GGA | relaxed

Values from the calculation:
- E (Ry per atom) = -0.311
- volume (Å³/atom) = 33.42

abc: 8.1170 8.1170 8.1170
angles: 90.00 90.00 90.00
Closest atoms and distances in Å follow each position.
Space group F-43m (No. 216)
One atom of each set of equivalent atoms:
1 Ac 0.0000 0.0000 0.0000 [4 per cell]  4 La 3.51, 4 Th 3.51
2 La 0.2500 0.2500 0.7500 [4 per cell]  4 Cd 3.51, 4 Ac 3.51
3 Th 0.2500 0.2500 0.2500 [4 per cell]  4 Cd 3.51, 4 Ac 3.51
4 Cd 0.0000 0.0000 0.5000 [4 per cell]  4 Th 3.51, 4 La 3.51

[2]
Tb4Pr3Dy8 | PBE-GGA | relaxed

Values from the calculation:
- E (Ry per atom) = -0.313
- volume (Å³/atom) = 33.73

abc: 13.4507 12.8439 6.7797
angles: 90.00 120.24 90.00
Closest atoms and distances in Å follow each position.
Space group C2/m (No. 12)
One atom of each set of equivalent atoms:
1 Tb 0.0000 0.0000 0.0000 [2 per cell]  6 Dy 3.26-3.49, 2 Tb 3.39
2 Tb 0.0000 0.0000 0.5000 [2 per cell]  2 Tb 3.39, 4 Dy 3.49-3.61
3 Tb 0.2500 0.2500 0.0000 [4 per cell]  4 Dy 3.21-3.36, 2 Pr 3.39
4 Pr 0.0000 0.5000 0.0000 [2 per cell]  6 Dy 3.17-3.26
5 Pr 0.2500 0.2500 0.5000 [4 per cell]  4 Dy 3.22-3.36, 2 Tb 3.39
6 Dy 0.0000 0.2536 0.0000 [4 per cell]  3 Pr 3.17-3.36, 3 Tb 3.26-3.36
7 Dy 0.0000 0.3589 0.5000 [4 per cell]  7 Dy 3.60-3.71, 4 Pr 3.64-3.84, 2 Tb 3.64
8 Dy 0.2319 0.5000 0.5009 [4 per cell]  3 Pr 3.22-3.25, 4 Dy 3.24-3.60, 1 Tb 3.49
9 Dy 0.2386 0.5000 0.9849 [4 per cell]  4 Tb 3.21-3.49, 2 Dy 3.24-3.54, 1 Pr 3.26

[3]
GdHfNi | PBE-GGA | relaxed

Values from the calculation:
- E (Ry per atom) = -0.744
- volume (Å³/atom) = 21.29

abc: 3.3175 3.3175 11.6043
angles: 90.00 90.00 90.00
Closest atoms and distances in Å follow each position.
Space group I4mm (No. 107)
One atom of each set of equivalent atoms:
1 Gd 0.0000 0.0000 0.0000 [2 per cell]  4 Ni 3.17, 5 Hf 3.30-3.43, 4 Gd 3.32
2 Hf 0.0000 0.0000 0.2846 [2 per cell]  4 Ni 2.62
3 Ni 0.0000 0.0000 0.6834 [2 per cell]  4 Hf 2.62

[4]
MnInSi2 | PBE-GGA | relaxed

Values from the calculation:
- volume (Å³/atom) = 17.07
- E_form (uncorrected) (eV/atom) = 0.46

abc: 5.3902 9.7954 3.0077
angles: 90.00 120.68 90.00
Closest atoms and distances in Å follow each position.
Space group C2/m (No. 12)
One atom of each set of equivalent atoms:
1 Mn 0.0000 0.0000 0.0000 [2 per cell]  4 In 2.70-2.83, 4 Si 2.80, 2 Mn 3.01
2 In 0.0000 0.5000 0.0000 [2 per cell]  4 Mn 2.70-2.83, 4 Si 2.80, 2 In 3.01
3 Si 0.2500 0.2500 0.0000 [4 per cell]  6 Si 2.70-3.01, 2 In 2.80, 2 Mn 2.80

[5]
RbScPaN3 | PBE-GGA | relaxed

Values from the calculation:
- volume (Å³/atom) = 18.44
- E_form (uncorrected) (eV/atom) = -1.23

abc: 7.3192 3.4842 8.6993
angles: 90.00 94.16 90.00
Closest atoms and distances in Å follow each position.
Space group P2_1/m (No. 11)
One atom of each set of equivalent atoms:
1 Rb 0.0640 0.2500 0.3085 [2 per cell]  5 N 3.01-3.16
2 Sc 0.3207 0.7500 0.9702 [2 per cell]  3 N 2.11-2.14
3 Pa 0.4395 0.2500 0.6698 [2 per cell]  6 N 2.22-2.41
4 N 0.2314 0.2500 0.8433 [2 per cell]  2 Sc 2.14, 1 Pa 2.22
5 N 0.3480 0.7500 0.5140 [2 per cell]  3 Pa 2.28-2.31
6 N 0.4444 0.2500 0.1575 [2 per cell]  1 Sc 2.11

[6]
NaTc2B2 | PBE-GGA | relaxed

Values from the calculation:
- E (Ry per atom) = -0.497
- volume (Å³/atom) = 13.07

abc: 4.0313 4.0313 8.0408
angles: 90.00 90.00 90.00
Closest atoms and distances in Å follow each position.
Space group I4/mmm (No. 139)
One atom of each set of equivalent atoms:
1 Na 0.0000 0.0000 0.0000 [2 per cell]  10 Tc 2.80-3.10, 8 B 2.85
2 Tc 0.0000 0.0000 0.3485 [4 per cell]  4 B 2.17
3 B 0.0000 0.5000 0.2500 [4 per cell]  4 Tc 2.17

Question: Among the records above, which one has the lowest volume?
Answer: NaTc2B2

Question: Which of these has the highest volume?
Answer: Tb4Pr3Dy8